(1)
The following is a DFT calculation (PBE) of an optimized crystal structure of K2PaWN4.

Computed properties:
* total energy: -7.97 eV per atom
* space group: No. 82
* calculated density: 5.5 Mg/m³
* Fermi-level density of states: 0.208 states/eV per atom
* raw formation energy: -16.7 kcal/mol of atoms

a = 6.2174 Å, b = 6.2174 Å, c = 6.2174 Å
α = 121.68°, β = 121.68°, γ = 87.12°
Fractional positions:
K1 0.0000 0.0000 0.0000
K2 0.7500 0.2500 0.5000
Pa1 0.5000 0.5000 0.0000
W1 0.2500 0.7500 0.5000
N1 0.2405 0.6447 0.1485
N2 0.3553 0.5037 0.5958
N3 0.4963 0.0920 0.8515
N4 0.9080 0.7595 0.4042



(2)
The following is a DFT calculation (PBE) of an optimized crystal structure of KPa2ZnN4.

Computed properties:
* total energy: -7.88 eV per atom
* space group: No. 63
* calculated density: 8.1 Mg/m³
* Fermi-level density of states: 0.395 states/eV per atom
* raw formation energy: -24.0 kcal/mol of atoms

a = 6.2899 Å, b = 6.2899 Å, c = 11.8201 Å
α = 90.00°, β = 90.00°, γ = 146.85°
Fractional positions:
K1 0.0917 0.9083 0.7500
K2 0.9083 0.0917 0.2500
Pa1 0.3701 0.6299 0.5543
Pa2 0.3701 0.6299 0.9457
Pa3 0.6299 0.3701 0.0543
Pa4 0.6299 0.3701 0.4457
Zn1 0.1836 0.8164 0.2500
Zn2 0.8164 0.1836 0.7500
N1 0.0000 0.0000 0.0000
N2 0.0000 0.0000 0.5000
N3 0.2510 0.7490 0.0940
N4 0.2510 0.7490 0.4060
N5 0.4042 0.5958 0.7500
N6 0.5958 0.4042 0.2500
N7 0.7490 0.2510 0.5940
N8 0.7490 0.2510 0.9060



(3)
The following is a DFT calculation (PBE) of an optimized crystal structure of K2ZrPaN4.

Computed properties:
* total energy: -7.63 eV per atom
* space group: No. 10
* calculated density: 5.6 Mg/m³
* Fermi-level density of states: 0.666 states/eV per atom
* raw formation energy: -21.6 kcal/mol of atoms

a = 5.9651 Å, b = 3.5204 Å, c = 6.7271 Å
α = 90.00°, β = 107.09°, γ = 90.00°
Fractional positions:
K1 0.0000 0.0000 0.0000
K2 0.5000 0.5000 0.0000
Zr1 0.0000 0.5000 0.5000
Pa1 0.5000 0.0000 0.5000
N1 0.2228 0.0000 0.6651
N2 0.2734 0.5000 0.3330
N3 0.7266 0.5000 0.6670
N4 0.7772 0.0000 0.3349



(4)
The following is a DFT calculation (PBE) of an optimized crystal structure of K4ZrPa3N8.

Computed properties:
* total energy: -7.82 eV per atom
* space group: No. 166
* calculated density: 6.2 Mg/m³
* Fermi-level density of states: 0.685 states/eV per atom
* raw formation energy: -24.7 kcal/mol of atoms

a = 7.6300 Å, b = 7.6300 Å, c = 7.6300 Å
α = 55.30°, β = 55.30°, γ = 55.30°
Fractional positions:
K1 0.0000 0.0000 0.0000
K2 0.0000 0.5000 0.5000
K3 0.5000 0.0000 0.5000
K4 0.5000 0.5000 0.0000
Zr1 0.5000 0.5000 0.5000
Pa1 0.0000 0.0000 0.5000
Pa2 0.0000 0.5000 0.0000
Pa3 0.5000 0.0000 0.0000
N1 0.2214 0.2214 0.2214
N2 0.2227 0.7206 0.7206
N3 0.2794 0.2794 0.7773
N4 0.2794 0.7773 0.2794
N5 0.7206 0.2227 0.7206
N6 0.7206 0.7206 0.2227
N7 0.7773 0.2794 0.2794
N8 0.7786 0.7786 0.7786



(5)
The following is a DFT calculation (PBE) of an optimized crystal structure of K3PbN.

Computed properties:
* total energy: -2.09 eV per atom
* space group: No. 221
* calculated density: 1.7 Mg/m³
* Fermi-level density of states: 0.461 states/eV per atom
* raw formation energy: 22.6 kcal/mol of atoms

a = 6.9083 Å, b = 6.9083 Å, c = 6.9083 Å
α = 90.00°, β = 90.00°, γ = 90.00°
Fractional positions:
K1 0.0000 0.0000 0.5000
K2 0.0000 0.5000 0.0000
K3 0.5000 0.0000 0.0000
Pb1 0.0000 0.0000 0.0000
N1 0.5000 0.5000 0.5000



(6)
The following is a DFT calculation (PBE) of an optimized crystal structure of KPbN3.

Computed properties:
* total energy: -3.42 eV per atom
* space group: No. 221
* calculated density: 4.6 Mg/m³
* Fermi-level density of states: 0.117 states/eV per atom
* raw formation energy: 58.5 kcal/mol of atoms

a = 4.7188 Å, b = 4.7188 Å, c = 4.7188 Å
α = 90.00°, β = 90.00°, γ = 90.00°
Fractional positions:
K1 0.0000 0.0000 0.0000
Pb1 0.5000 0.5000 0.5000
N1 0.0000 0.0000 0.5000
N2 0.0000 0.5000 0.0000
N3 0.5000 0.0000 0.0000



(7)
The following is a DFT calculation (PBE) of an optimized crystal structure of KPb2N.

Computed properties:
* total energy: -3.68 eV per atom
* space group: No. 122
* calculated density: 5.7 Mg/m³
* Fermi-level density of states: 1.784 states/eV per atom
* raw formation energy: 12.3 kcal/mol of atoms

a = 7.3204 Å, b = 7.3204 Å, c = 7.3204 Å
α = 121.51°, β = 121.51°, γ = 87.41°
Fractional positions:
K1 0.0000 0.0000 0.0000
K2 0.7500 0.2500 0.5000
Pb1 0.2581 0.6250 0.1331
Pb2 0.3750 0.5081 0.6331
Pb3 0.4919 0.1250 0.8669
Pb4 0.8750 0.7419 0.3669
N1 0.2500 0.7500 0.5000
N2 0.5000 0.5000 0.0000



(8)
The following is a DFT calculation (PBE) of an optimized crystal structure of KPbN2.

Computed properties:
* total energy: -4.09 eV per atom
* space group: No. 166
* calculated density: 4.1 Mg/m³
* Fermi-level density of states: 0.613 states/eV per atom
* raw formation energy: 29.3 kcal/mol of atoms

a = 7.5276 Å, b = 7.5276 Å, c = 7.5276 Å
α = 32.66°, β = 32.66°, γ = 32.66°
Fractional positions:
K1 0.0000 0.0000 0.0000
Pb1 0.5000 0.5000 0.5000
N1 0.4076 0.4076 0.4076
N2 0.5924 0.5924 0.5924



(9)
The following is a DFT calculation (PBE) of an optimized crystal structure of K2PbN.

Computed properties:
* total energy: -3.10 eV per atom
* space group: No. 122
* calculated density: 3.2 Mg/m³
* Fermi-level density of states: 0.415 states/eV per atom
* ΔE to the lowest computed polymorph: 0.0 meV per atom
* raw formation energy: 10.5 kcal/mol of atoms

a = 8.4772 Å, b = 8.4772 Å, c = 8.4772 Å
α = 94.27°, β = 94.27°, γ = 148.34°
Fractional positions:
K1 0.3750 0.0627 0.1877
K2 0.8127 0.6250 0.6877
K3 0.8750 0.1873 0.8123
K4 0.9373 0.1250 0.3123
Pb1 0.2500 0.7500 0.5000
Pb2 0.5000 0.5000 0.0000
N1 0.0000 0.0000 0.0000
N2 0.7500 0.2500 0.5000



(10)
The following is a DFT calculation (PBE) of an optimized crystal structure of KPbN.

Computed properties:
* total energy: -4.46 eV per atom
* space group: No. 71
* calculated density: 5.1 Mg/m³
* Fermi-level density of states: 0.484 states/eV per atom
* ΔE to the lowest computed polymorph: 0.0 meV per atom
* raw formation energy: -1.9 kcal/mol of atoms

a = 12.0594 Å, b = 12.0594 Å, c = 12.0594 Å
α = 162.23°, β = 161.61°, γ = 25.68°
Fractional positions:
K1 0.0920 0.0920 0.0000
K2 0.9080 0.9080 0.0000
Pb1 0.2896 0.2896 0.0000
Pb2 0.7104 0.7104 0.0000
N1 0.4748 0.4748 0.0000
N2 0.5252 0.5252 0.0000



(11)
The following is a DFT calculation (PBE) of an optimized crystal structure of KPbN.

Computed properties:
* total energy: -4.21 eV per atom
* space group: No. 8
* calculated density: 6.1 Mg/m³
* Fermi-level density of states: 0.002 states/eV per atom
* ΔE to the lowest computed polymorph: 250.6 meV per atom
* raw formation energy: 3.8 kcal/mol of atoms

a = 3.6266 Å, b = 3.6266 Å, c = 6.1928 Å
α = 90.13°, β = 90.13°, γ = 60.02°
Fractional positions:
K1 0.0000 0.0000 0.0000
Pb1 0.3348 0.3348 0.4702
N1 0.6676 0.6676 0.2841



(12)
The following is a DFT calculation (PBE) of an optimized crystal structure of KPbN3.

Computed properties:
* total energy: -4.29 eV per atom
* space group: No. 221
* calculated density: 5.2 Mg/m³
* Fermi-level density of states: 0.365 states/eV per atom
* raw formation energy: 38.4 kcal/mol of atoms

a = 4.5106 Å, b = 4.5106 Å, c = 4.5106 Å
α = 90.00°, β = 90.00°, γ = 90.00°
Fractional positions:
K1 0.0000 0.0000 0.0000
Pb1 0.5000 0.5000 0.5000
N1 0.0000 0.5000 0.5000
N2 0.5000 0.0000 0.5000
N3 0.5000 0.5000 0.0000



(13)
The following is a DFT calculation (PBE) of an optimized crystal structure of KPbN.

Computed properties:
* total energy: -4.15 eV per atom
* space group: No. 62
* calculated density: 5.6 Mg/m³
* ΔE to the lowest computed polymorph: 316.3 meV per atom
* raw formation energy: 5.3 kcal/mol of atoms

a = 12.7401 Å, b = 3.5839 Å, c = 6.7796 Å
α = 90.00°, β = 90.00°, γ = 90.00°
Fractional positions:
K1 0.1216 0.2500 0.0024
K2 0.3784 0.7500 0.5024
K3 0.6216 0.2500 0.4976
K4 0.8784 0.7500 0.9976
Pb1 0.1094 0.2500 0.5170
Pb2 0.3906 0.7500 0.0170
Pb3 0.6094 0.2500 0.9830
Pb4 0.8906 0.7500 0.4830
N1 0.0365 0.7500 0.6938
N2 0.4635 0.2500 0.1938
N3 0.5365 0.7500 0.8062
N4 0.9635 0.2500 0.3062



(14)
The following is a DFT calculation (PBE) of an optimized crystal structure of KPbN2.

Computed properties:
* total energy: -4.50 eV per atom
* space group: No. 122
* calculated density: 5.4 Mg/m³
* Fermi-level density of states: 1.110 states/eV per atom
* raw formation energy: 20.0 kcal/mol of atoms

a = 6.0904 Å, b = 6.0904 Å, c = 6.0904 Å
α = 116.39°, β = 116.39°, γ = 96.38°
Fractional positions:
K1 0.0000 0.0000 0.0000
K2 0.7500 0.2500 0.5000
Pb1 0.2500 0.7500 0.5000
Pb2 0.5000 0.5000 0.0000
N1 0.2001 0.6250 0.0751
N2 0.3750 0.4501 0.5751
N3 0.5499 0.1250 0.9249
N4 0.8750 0.7999 0.4249



(15)
The following is a DFT calculation (PBE) of an optimized crystal structure of K2PbN.

Computed properties:
* total energy: -2.51 eV per atom
* space group: No. 225
* calculated density: 4.3 Mg/m³
* Fermi-level density of states: 0.695 states/eV per atom
* ΔE to the lowest computed polymorph: 588.7 meV per atom
* raw formation energy: 24.0 kcal/mol of atoms

a = 5.4654 Å, b = 5.4654 Å, c = 5.4654 Å
α = 60.00°, β = 60.00°, γ = 60.00°
Fractional positions:
K1 0.2500 0.2500 0.2500
K2 0.7500 0.7500 0.7500
Pb1 0.0000 0.0000 0.0000
N1 0.5000 0.5000 0.5000



(16)
The following is a DFT calculation (PBE) of an optimized crystal structure of KPbN2.

Computed properties:
* total energy: -5.41 eV per atom
* space group: No. 2
* calculated density: 4.4 Mg/m³
* Fermi-level density of states: 0.500 states/eV per atom
* raw formation energy: -1.0 kcal/mol of atoms

a = 3.9724 Å, b = 5.0876 Å, c = 10.5110 Å
α = 76.46°, β = 88.92°, γ = 86.72°
Fractional positions:
K1 0.0264 0.3682 0.3221
K2 0.9736 0.6318 0.6779
Pb1 0.0000 0.0000 0.0000
Pb2 0.5000 0.5000 0.0000
N1 0.3642 0.0868 0.6211
N2 0.4268 0.7728 0.4259
N3 0.5732 0.2272 0.5741
N4 0.6358 0.9132 0.3789



(17)
The following is a DFT calculation (PBE) of an optimized crystal structure of KPbS2N.

Computed properties:
* total energy: -3.07 eV per atom
* space group: No. 123
* calculated density: 3.6 Mg/m³
* Fermi-level density of states: 0.512 states/eV per atom
* ΔE to the lowest computed polymorph: 762.2 meV per atom
* raw formation energy: 27.9 kcal/mol of atoms

a = 5.5595 Å, b = 5.5595 Å, c = 4.7942 Å
α = 90.00°, β = 90.00°, γ = 90.00°
Fractional positions:
K1 0.0000 0.0000 0.0000
Pb1 0.5000 0.5000 0.5000
S1 0.0000 0.5000 0.0000
S2 0.5000 0.0000 0.0000
N1 0.0000 0.0000 0.5000



(18)
The following is a DFT calculation (PBE) of an optimized crystal structure of KPbS2N.

Computed properties:
* total energy: -3.83 eV per atom
* space group: No. 123
* calculated density: 4.1 Mg/m³
* Fermi-level density of states: 0.330 states/eV per atom
* ΔE to the lowest computed polymorph: 0.0 meV per atom
* raw formation energy: 10.3 kcal/mol of atoms

a = 5.3223 Å, b = 5.3223 Å, c = 4.6439 Å
α = 90.00°, β = 90.00°, γ = 90.00°
Fractional positions:
K1 0.0000 0.0000 0.0000
Pb1 0.5000 0.5000 0.5000
S1 0.0000 0.5000 0.5000
S2 0.5000 0.0000 0.5000
N1 0.5000 0.5000 0.0000



(19)
The following is a DFT calculation (PBE) of an optimized crystal structure of KPbSe2N.

Computed properties:
* total energy: -2.92 eV per atom
* space group: No. 123
* calculated density: 4.3 Mg/m³
* Fermi-level density of states: 0.730 states/eV per atom
* ΔE to the lowest computed polymorph: 691.4 meV per atom
* raw formation energy: 25.4 kcal/mol of atoms

a = 5.7861 Å, b = 5.7861 Å, c = 4.8365 Å
α = 90.00°, β = 90.00°, γ = 90.00°
Fractional positions:
K1 0.0000 0.0000 0.0000
Pb1 0.5000 0.5000 0.5000
Se1 0.0000 0.5000 0.0000
Se2 0.5000 0.0000 0.0000
N1 0.0000 0.0000 0.5000



(20)
The following is a DFT calculation (PBE) of an optimized crystal structure of KPbSe2N.

Computed properties:
* total energy: -3.61 eV per atom
* space group: No. 123
* calculated density: 4.7 Mg/m³
* Fermi-level density of states: 0.624 states/eV per atom
* ΔE to the lowest computed polymorph: 0.0 meV per atom
* raw formation energy: 9.4 kcal/mol of atoms

a = 5.6006 Å, b = 5.6006 Å, c = 4.6889 Å
α = 90.00°, β = 90.00°, γ = 90.00°
Fractional positions:
K1 0.0000 0.0000 0.0000
Pb1 0.5000 0.5000 0.5000
Se1 0.0000 0.5000 0.5000
Se2 0.5000 0.0000 0.5000
N1 0.5000 0.5000 0.0000



(21)
The following is a DFT calculation (PBE) of an optimized crystal structure of K2TcPbN.

Computed properties:
* total energy: -3.11 eV per atom
* space group: No. 123
* calculated density: 2.8 Mg/m³
* Fermi-level density of states: 1.143 states/eV per atom
* raw formation energy: 41.7 kcal/mol of atoms

a = 6.7129 Å, b = 6.7129 Å, c = 5.2157 Å
α = 90.00°, β = 90.00°, γ = 90.00°
Fractional positions:
K1 0.0000 0.5000 0.0000
K2 0.5000 0.0000 0.0000
Tc1 0.0000 0.0000 0.5000
Pb1 0.0000 0.0000 0.0000
N1 0.5000 0.5000 0.5000



(22)
The following is a DFT calculation (PBE) of an optimized crystal structure of KU4PbN8.

Computed properties:
* total energy: -9.25 eV per atom
* space group: No. 160
* calculated density: 7.6 Mg/m³
* Fermi-level density of states: 0.960 states/eV per atom
* raw formation energy: -21.4 kcal/mol of atoms

a = 7.8583 Å, b = 7.8583 Å, c = 7.8583 Å
α = 52.83°, β = 52.83°, γ = 52.83°
Fractional positions:
K1 0.0000 0.0000 0.0000
U1 0.4690 0.4690 0.4690
U2 0.4937 0.9989 0.9989
U3 0.9989 0.4937 0.9989
U4 0.9989 0.9989 0.4937
Pb1 0.6212 0.6212 0.6212
N1 0.2082 0.2082 0.2082
N2 0.2325 0.6957 0.6957
N3 0.2677 0.2677 0.7953
N4 0.2677 0.7953 0.2677
N5 0.6957 0.2325 0.6957
N6 0.6957 0.6957 0.2325
N7 0.7897 0.7897 0.7897
N8 0.7953 0.2677 0.2677



(23)
The following is a DFT calculation (PBE) of an optimized crystal structure of KPdN.

Computed properties:
* total energy: -4.87 eV per atom
* space group: No. 12
* calculated density: 3.4 Mg/m³
* ΔE to the lowest computed polymorph: 34.0 meV per atom
* raw formation energy: 0.2 kcal/mol of atoms

a = 5.2390 Å, b = 5.2390 Å, c = 6.7688 Å
α = 113.26°, β = 113.26°, γ = 75.90°
Fractional positions:
K1 0.2468 0.2468 0.2669
K2 0.7532 0.7532 0.7331
Pd1 0.1571 0.1571 0.6936
Pd2 0.8429 0.8429 0.3064
N1 0.4189 0.4189 0.9531
N2 0.5811 0.5811 0.0469



(24)
The following is a DFT calculation (PBE) of an optimized crystal structure of KPdN3.

Computed properties:
* total energy: -2.61 eV per atom
* space group: No. 221
* calculated density: 4.2 Mg/m³
* Fermi-level density of states: 1.445 states/eV per atom
* raw formation energy: 84.0 kcal/mol of atoms

a = 4.1888 Å, b = 4.1888 Å, c = 4.1888 Å
α = 90.00°, β = 90.00°, γ = 90.00°
Fractional positions:
K1 0.0000 0.0000 0.0000
Pd1 0.5000 0.5000 0.5000
N1 0.0000 0.0000 0.5000
N2 0.0000 0.5000 0.0000
N3 0.5000 0.0000 0.0000



(25)
The following is a DFT calculation (PBE) of an optimized crystal structure of KPd2N.

Computed properties:
* total energy: -4.82 eV per atom
* space group: No. 141
* calculated density: 5.0 Mg/m³
* Fermi-level density of states: 0.223 states/eV per atom
* raw formation energy: 3.0 kcal/mol of atoms

a = 6.9051 Å, b = 6.9051 Å, c = 6.9051 Å
α = 132.38°, β = 132.38°, γ = 69.63°
Fractional positions:
K1 0.3750 0.6250 0.7500
K2 0.6250 0.3750 0.2500
Pd1 0.0000 0.0000 0.0000
Pd2 0.0000 0.0000 0.5000
Pd3 0.0000 0.5000 0.0000
Pd4 0.5000 0.0000 0.5000
N1 0.1250 0.8750 0.2500
N2 0.8750 0.1250 0.7500